Entry from the Alexandria database: a geometry-optimized TlNiW2 structure (GGA-PBE).

Cell lengths 3.6478, 3.9937, 4.4636 Å; angles 90.00, 90.00, 90.00 degrees
Space group Pmmm (No. 47)
Symmetry-distinct sites (fractional):
Tl1 0.0000 0.0000 0.0000 x1
Ni1 0.5000 0.5000 0.0000 x1
W1 0.0000 0.5000 0.5000 x1
W2 0.5000 0.0000 0.5000 x1

Computed properties:
VASP energy, eV for the cell shown: -31.51
Formation energy, kJ per mole of atoms: 61.4
Density, g/cm3: 16.11